(1)
A plane-wave DFT calculation with PBE was carried out for a relaxed structure of Mg4ZnPb.

abc: 8.1487 12.5378 5.6462
angles: 90.00 108.90 90.00
Space group C2/c (No. 15)
Symmetry-distinct sites (fractional):
Mg 0.1053 0.1796 0.0577 [8 per cell]
Mg 0.2146 0.4017 0.3642 [8 per cell]
Zn 0.0000 0.0008 0.7500 [4 per cell]
Pb 0.0000 0.3835 0.7500 [4 per cell]

## Properties
magnetic moment: 0.00 μB/f.u.
ΔE_f: -43 meV/atom
DOS at the Fermi energy: 2.4 states/eV/f.u.
DFT total energy: -46.49 eV/cell
energy above the most stable polymorph in this dataset: 0.0 meV/atom

(2)
A plane-wave DFT calculation with PBE was carried out for a relaxed structure of Mg3ZnPb.

abc: 5.0398 5.0398 5.0398
angles: 90.00 90.00 90.00
Space group Pm-3m (No. 221)
Symmetry-distinct sites (fractional):
Mg 0.0000 0.0000 0.5000 [3 per cell]
Zn 0.0000 0.0000 0.0000 [1 per cell]
Pb 0.5000 0.5000 0.5000 [1 per cell]

## Properties
magnetic moment: 0.00 μB/f.u.
ΔE_f: 148 meV/atom
DOS at the Fermi energy: 2.2 states/eV/f.u.
DFT total energy: -9.03 eV/cell
energy above the most stable polymorph in this dataset: 189.6 meV/atom

(3)
A plane-wave DFT calculation with PBE was carried out for a relaxed structure of Mg8ZnPb2.

abc: 16.1046 4.8606 7.0559
angles: 90.00 111.18 90.00
Space group C2/m (No. 12)
Symmetry-distinct sites (fractional):
Mg 0.0219 0.0000 0.2884 [4 per cell]
Mg 0.0899 0.5000 0.9241 [4 per cell]
Mg 0.1549 0.5000 0.4154 [4 per cell]
Mg 0.1724 0.0000 0.7225 [4 per cell]
Zn 0.0000 0.5000 0.5000 [2 per cell]
Pb 0.1882 0.0000 0.1700 [4 per cell]

## Properties
magnetic moment: 0.00 μB/f.u.
ΔE_f: -16 meV/atom
DOS at the Fermi energy: 3.5 states/eV/f.u.
DFT total energy: -43.25 eV/cell
energy above the most stable polymorph in this dataset: 13.4 meV/atom

(4)
A plane-wave DFT calculation with PBE was carried out for a relaxed structure of Mg9ZnPb2.

abc: 4.5576 4.5576 13.1503
angles: 90.00 90.00 90.00
Space group P4/mmm (No. 123)
Symmetry-distinct sites (fractional):
Mg 0.0000 0.0000 0.0000 [1 per cell]
Mg 0.0000 0.0000 0.3263 [2 per cell]
Mg 0.0000 0.5000 0.1516 [4 per cell]
Mg 0.0000 0.5000 0.5000 [2 per cell]
Zn 0.5000 0.5000 0.0000 [1 per cell]
Pb 0.5000 0.5000 0.3263 [2 per cell]

## Properties
magnetic moment: 0.00 μB/f.u.
ΔE_f: -41 meV/atom
DOS at the Fermi energy: 4.5 states/eV/f.u.
DFT total energy: -23.53 eV/cell

- Which of these has the lowest DOS at the Fermi energy?
  Mg3ZnPb

- Which value of DOS at the Fermi energy does entry 1 give?
  2.4 states/eV/f.u.